# Sr4LiY

An optimized crystal structure of Sr4LiY (PBE, Alexandria).

Cell lengths 7.469, 7.469, 7.469 Å; angles 60.00, 60.00, 60.00 degrees
Each line ends with the local moment (μB).
Atoms (fractional coordinates):
Li  0.000  0.000  0.000  0.00
Sr  0.376  0.873  0.376  0.02
Sr  0.376  0.376  0.873  0.02
Y  0.750  0.750  0.750  0.15
Sr  0.376  0.376  0.376  0.02
Sr  0.873  0.376  0.376  0.02

Fermi-level density of states: 8.6 states/eV/f.u.
Volume: 49.098 Å³ per atom
Size of the total moment: 0.70 μB/f.u.
Space-group type: F-43m, No. 216
E_tot: -12.41 eV per cell

# PuVMoW

An optimized crystal structure of PuVMoW (PBE, Alexandria).

Cell lengths 4.560, 4.560, 4.560 Å; angles 60.00, 60.00, 60.00 degrees
Each line ends with the local moment (μB).
Atoms (fractional coordinates):
W  0.500  0.500  0.500  -0.25
Pu  0.000  0.000  0.000  4.47
V  0.250  0.250  0.250  -0.17
Mo  0.750  0.750  0.750  -0.07

Fermi-level density of states: 6.3 states/eV/f.u.
Volume: 16.764 Å³ per atom
Size of the total moment: 3.95 μB/f.u.
Space-group type: F-43m, No. 216
E_tot: -46.21 eV per cell